Record 1
Compound: Pa2Si3SnIr4
Source: Alexandria
Functional: GGA-PBE
Structure: optimized geometry

Results
As for the crystal system: tetragonal.

Cell lengths 4.050, 4.050, 10.850 Å; angles 90.00, 90.00, 90.00 degrees
Positions (direct):
Pa 0.000 0.500 0.234
Pa 0.500 0.000 0.766
Si 0.000 0.500 0.876
Si 0.500 0.000 0.124
Si 0.500 0.500 0.500
Sn 0.000 0.000 0.500
Ir 0.000 0.000 0.000
Ir 0.000 0.500 0.660
Ir 0.500 0.000 0.340
Ir 0.500 0.500 0.000

---

Record 2
Compound: Pa2TaSi4Ir3
Source: Alexandria
Functional: GGA-PBE
Structure: optimized geometry

Results
As for the crystal system: tetragonal.

Cell lengths 4.105, 4.105, 10.355 Å; angles 90.00, 90.00, 90.00 degrees
Positions (direct):
Pa 0.000 0.500 0.241
Pa 0.500 0.000 0.759
Ta 0.000 0.000 0.500
Si 0.000 0.000 0.000
Si 0.000 0.500 0.648
Si 0.500 0.000 0.352
Si 0.500 0.500 0.000
Ir 0.000 0.500 0.877
Ir 0.500 0.000 0.123
Ir 0.500 0.500 0.500

---

Record 3
Compound: TbPaSi2Ir5
Source: Alexandria
Functional: GGA-PBE
Structure: optimized geometry

Results
As for the crystal system: tetragonal.

Cell lengths 4.002, 4.002, 11.235 Å; angles 90.00, 90.00, 90.00 degrees
Positions (direct):
Tb 0.000 0.000 0.000
Pa 0.000 0.000 0.500
Si 0.500 0.500 0.208
Si 0.500 0.500 0.792
Ir 0.000 0.500 0.322
Ir 0.000 0.500 0.678
Ir 0.500 0.000 0.322
Ir 0.500 0.000 0.678
Ir 0.500 0.500 0.000

---

Record 4
Compound: PaSi2TcIr
Source: Alexandria
Functional: GGA-PBE
Structure: optimized geometry

Results
As for the crystal system: tetragonal.

Cell lengths 5.656, 5.656, 5.656 Å; angles 136.54, 136.54, 63.14 degrees
Positions (direct):
Pa 0.000 0.000 0.000
Si 0.375 0.375 0.000
Si 0.625 0.625 0.000
Tc 0.750 0.250 0.500
Ir 0.250 0.750 0.500

---

Record 5
Compound: PaSi2TcIr2
Source: Alexandria
Functional: GGA-PBE
Structure: optimized geometry

Results
As for the crystal system: tetragonal.

Cell lengths 9.180, 9.180, 9.180 Å; angles 155.86, 155.86, 34.40 degrees
Positions (direct):
Pa 0.000 0.000 0.000
Si 0.169 0.169 0.000
Si 0.831 0.831 0.000
Tc 0.500 0.500 0.000
Ir 0.250 0.750 0.500
Ir 0.750 0.250 0.500

---

Record 6
Compound: Pa3Si3Tc2Ir
Source: Alexandria
Functional: GGA-PBE
Structure: optimized geometry

Results
As for the crystal system: hexagonal.

Cell lengths 6.996, 6.996, 3.916 Å; angles 90.00, 90.00, 120.00 degrees
Positions (direct):
Pa 0.000 0.419 0.000
Pa 0.419 0.000 0.000
Pa 0.581 0.581 0.000
Si 0.000 0.756 0.500
Si 0.244 0.244 0.500
Si 0.756 0.000 0.500
Tc 0.333 0.667 0.500
Tc 0.667 0.333 0.500
Ir 0.000 0.000 0.000

---

Energy relative to the elements, uncorrected for every record listed, in sequence, given in eV per atom: -0.841; -0.813; -0.648; -0.840; 0.152; -0.669.